Crystalline CuSiNiPt at its relaxed geometry. Source: OQMD via LeMat-Bulk, functional PBE-GGA.

Calculated values
Energy relative to the lowest polymorph listed for this composition: 0.000 eV/atom

Cell lengths 5.856, 5.856, 5.856 Å; angles 90.00, 90.00, 90.00 degrees
Space group F-43m (No. 216)
Symmetry-distinct sites (fractional):
Cu (0.000, 0.000, 0.000) [4 per cell]
Si (0.000, 0.000, 0.500) [4 per cell]
Ni (0.250, 0.250, 0.750) [4 per cell]
Pt (0.250, 0.250, 0.250) [4 per cell]



Crystalline Rb2YNbO6 at its relaxed geometry. Source: OQMD via LeMat-Bulk, functional PBE-GGA.

Calculated values
Final energy: -279.7 eV for the cell shown

Cell lengths 8.520, 8.520, 8.520 Å; angles 90.00, 90.00, 90.00 degrees
Space group Fm-3m (No. 225)
Symmetry-distinct sites (fractional):
Rb (0.250, 0.250, 0.250) [8 per cell]
Y (0.000, 0.000, 0.000) [4 per cell]
Nb (0.000, 0.000, 0.500) [4 per cell]
O (0.000, 0.000, 0.265) [24 per cell]



Crystalline Hf2FeAg at its relaxed geometry. Source: OQMD via LeMat-Bulk, functional PBE-GGA.

Calculated values
ΔE_f: 0.263 eV/atom

Cell lengths 6.489, 6.489, 6.489 Å; angles 90.00, 90.00, 90.00 degrees
Space group F-43m (No. 216)
Symmetry-distinct sites (fractional):
Hf (0.000, 0.000, 0.000) [4 per cell]
Hf (0.250, 0.250, 0.250) [4 per cell]
Fe (0.250, 0.250, 0.750) [4 per cell]
Ag (0.000, 0.000, 0.500) [4 per cell]



Crystalline Be3Co at its relaxed geometry. Source: OQMD via LeMat-Bulk, functional PBE-GGA.

Calculated values
Final energy: -38.9 eV for the cell shown

Cell lengths 3.600, 4.455, 4.091 Å; angles 90.00, 90.00, 90.00 degrees
Space group Pmmn (No. 59, origin choice 2)
Symmetry-distinct sites (fractional):
Be (0.250, 0.004, 0.156) [4 per cell]
Be (0.250, 0.750, 0.672) [2 per cell]
Co (0.250, 0.250, 0.648) [2 per cell]



Crystalline Gd4IrSe4O4 at its relaxed geometry. Source: OQMD via LeMat-Bulk, functional PBE-GGA.

Calculated values
Final energy: -181.9 eV for the cell shown

Cell lengths 15.733, 3.792, 9.798 Å; angles 90.00, 118.32, 90.00 degrees
Space group C2/m (No. 12)
Symmetry-distinct sites (fractional):
Gd (0.025, 0.000, 0.332) [4 per cell]
Gd (0.220, 0.500, 0.327) [4 per cell]
Ir (0.000, 0.500, 0.000) [2 per cell]
Se (0.113, 0.000, 0.016) [4 per cell]
Se (0.118, 0.500, 0.638) [4 per cell]
O (0.054, 0.500, 0.237) [4 per cell]
O (0.184, 0.000, 0.413) [4 per cell]



Crystalline NdErS2F2 at its relaxed geometry. Source: OQMD via LeMat-Bulk, functional PBE-GGA.

Calculated values
Final energy: -39.2 eV for the cell shown

Cell lengths 3.799, 3.799, 6.828 Å; angles 90.00, 90.00, 90.00 degrees
Space group P4mm (No. 99)
Symmetry-distinct sites (fractional):
Nd (0.000, 0.000, 0.000) [1 per cell]
Er (0.500, 0.500, 0.541) [1 per cell]
S (0.000, 0.000, 0.423) [1 per cell]
S (0.500, 0.500, 0.137) [1 per cell]
F (0.000, 0.500, 0.765) [2 per cell]



Crystalline BaAsAu2 at its relaxed geometry. Source: OQMD via LeMat-Bulk, functional PBE-GGA.

Calculated values
Final energy: -56.3 eV for the cell shown

Cell lengths 7.284, 7.284, 7.284 Å; angles 90.00, 90.00, 90.00 degrees
Space group F-43m (No. 216)
Symmetry-distinct sites (fractional):
Ba (0.000, 0.000, 0.000) [4 per cell]
As (0.250, 0.250, 0.750) [4 per cell]
Au (0.000, 0.000, 0.500) [4 per cell]
Au (0.250, 0.250, 0.250) [4 per cell]



Crystalline GdHoTl2Pt4 at its relaxed geometry. Source: OQMD via LeMat-Bulk, functional PBE-GGA.

Calculated values
Final energy: -44.2 eV for the cell shown

Cell lengths 4.6376, 4.6376, 9.0077 Å; angles 90.00, 90.00, 120.00 degrees
Space group P-6m2 (No. 187)
Symmetry-distinct sites (fractional):
Gd (0.0000, 0.0000, 0.0000) [1 per cell]
Ho (0.6667, 0.3333, 0.5000) [1 per cell]
Tl (0.3333, 0.6667, 0.2511) [2 per cell]
Pt (0.0000, 0.0000, 0.3464) [2 per cell]
Pt (0.6667, 0.3333, 0.1560) [2 per cell]



Crystalline HoTm2Ga3Cu2Ni at its relaxed geometry. Source: OQMD via LeMat-Bulk, functional PBE-GGA.

Calculated values
Final energy: -81.1 eV for the cell shown

Cell lengths 3.966, 11.928, 6.886 Å; angles 90.00, 90.00, 90.00 degrees
Space group Amm2 (No. 38)
Symmetry-distinct sites (fractional):
Ho (0.000, 0.000, 0.000) [2 per cell]
Tm (0.000, 0.205, 0.386) [4 per cell]
Ga (0.500, 0.000, 0.352) [2 per cell]
Ga (0.500, 0.119, 0.709) [4 per cell]
Cu (0.500, 0.168, 0.091) [4 per cell]
Ni (0.000, 0.000, 0.588) [2 per cell]



Crystalline KNa3Cu2P2 at its relaxed geometry. Source: OQMD via LeMat-Bulk, functional PBE-GGA.

Calculated values
Final energy: -26.0 eV for the cell shown

Cell lengths 5.635, 5.335, 5.847 Å; angles 90.00, 103.71, 90.00 degrees
Space group Pm (No. 6)
Symmetry-distinct sites (fractional):
K (0.000, 0.000, 0.000) [1 per cell]
Na (0.070, 0.500, 0.376) [1 per cell]
Na (0.356, 0.000, 0.662) [1 per cell]
Na (0.713, 0.500, 0.699) [1 per cell]
Cu (0.543, 0.252, 0.187) [2 per cell]
P (0.298, 0.500, 0.923) [1 per cell]
P (0.779, 0.000, 0.453) [1 per cell]



Crystalline LaTh at its relaxed geometry. Source: OQMD via LeMat-Bulk, functional PBE-GGA.

Calculated values
Energy relative to the lowest polymorph listed for this composition: 0.000 eV/atom
ΔE_f: 0.072 eV/atom

Cell lengths 3.6208, 3.6208, 5.9629 Å; angles 90.00, 90.00, 120.00 degrees
Space group P-6m2 (No. 187)
Symmetry-distinct sites (fractional):
La (0.0000, 0.0000, 0.0000) [1 per cell]
Th (0.6667, 0.3333, 0.5000) [1 per cell]



Crystalline KZrInS3 at its relaxed geometry. Source: OQMD via LeMat-Bulk, functional PBE-GGA.

Calculated values
Final energy: -119.6 eV for the cell shown

Cell lengths 3.884, 15.253, 10.058 Å; angles 90.00, 90.00, 90.00 degrees
Space group Cmcm (No. 63)
Symmetry-distinct sites (fractional):
K (0.000, 0.245, 0.250) [4 per cell]
Zr (0.000, 0.000, 0.000) [4 per cell]
In (0.000, 0.470, 0.750) [4 per cell]
S (0.000, 0.083, 0.750) [4 per cell]
S (0.000, 0.378, 0.541) [8 per cell]



Crystalline ErTe3PbAu at its relaxed geometry. Source: OQMD via LeMat-Bulk, functional PBE-GGA.

Calculated values
Energy relative to the lowest polymorph listed for this composition: 0.061 eV/atom

Cell lengths 12.747, 4.413, 12.809 Å; angles 90.00, 90.00, 90.00 degrees
Space group Pnma (No. 62)
Symmetry-distinct sites (fractional):
Er (0.038, 0.250, 0.190) [4 per cell]
Te (0.023, 0.750, 0.360) [4 per cell]
Te (0.088, 0.250, 0.933) [4 per cell]
Te (0.224, 0.750, 0.673) [4 per cell]
Pb (0.199, 0.250, 0.473) [4 per cell]
Au (0.232, 0.750, 0.305) [4 per cell]



Crystalline CsInTc at its relaxed geometry. Source: OQMD via LeMat-Bulk, functional PBE-GGA.

Calculated values
Energy relative to the lowest polymorph listed for this composition: 0.000 eV/atom

Cell lengths 7.035, 7.035, 7.035 Å; angles 90.00, 90.00, 90.00 degrees
Space group F-43m (No. 216)
Symmetry-distinct sites (fractional):
Cs (0.000, 0.000, 0.000) [4 per cell]
In (0.000, 0.000, 0.500) [4 per cell]
Tc (0.250, 0.250, 0.250) [4 per cell]



Crystalline AcDyGe at its relaxed geometry. Source: OQMD via LeMat-Bulk, functional PBE-GGA.

Calculated values
Energy relative to the lowest polymorph listed for this composition: 0.182 eV/atom

Cell lengths 7.512, 7.512, 7.512 Å; angles 90.00, 90.00, 90.00 degrees
Space group F-43m (No. 216)
Symmetry-distinct sites (fractional):
Ac (0.000, 0.000, 0.000) [4 per cell]
Dy (0.250, 0.250, 0.750) [4 per cell]
Ge (0.250, 0.250, 0.250) [4 per cell]



Crystalline BaTcTe at its relaxed geometry. Source: OQMD via LeMat-Bulk, functional PBE-GGA.

Calculated values
Energy relative to the lowest polymorph listed for this composition: 0.000 eV/atom

Cell lengths 7.110, 7.110, 7.110 Å; angles 90.00, 90.00, 90.00 degrees
Space group F-43m (No. 216)
Symmetry-distinct sites (fractional):
Ba (0.000, 0.000, 0.000) [4 per cell]
Tc (0.250, 0.250, 0.250) [4 per cell]
Te (0.000, 0.000, 0.500) [4 per cell]



Crystalline TmTlNO at its relaxed geometry. Source: OQMD via LeMat-Bulk, functional PBE-GGA.

Calculated values
Energy relative to the lowest polymorph listed for this composition: 0.000 eV/atom

Cell lengths 5.573, 8.665, 5.586 Å; angles 90.00, 90.00, 90.00 degrees
Space group Pca2_1 (No. 29)
Symmetry-distinct sites (fractional):
Tm (0.000, 0.115, 0.000) [4 per cell]
Tl (0.023, 0.380, 0.528) [4 per cell]
N (0.028, 0.362, 0.089) [4 per cell]
O (0.250, 0.999, 0.248) [4 per cell]



Crystalline ZrTlFeRe at its relaxed geometry. Source: OQMD via LeMat-Bulk, functional PBE-GGA.

Calculated values
Energy relative to the lowest polymorph listed for this composition: 0.059 eV/atom

Cell lengths 6.525, 6.525, 6.525 Å; angles 90.00, 90.00, 90.00 degrees
Space group F-43m (No. 216)
Symmetry-distinct sites (fractional):
Zr (0.000, 0.000, 0.000) [4 per cell]
Tl (0.250, 0.250, 0.250) [4 per cell]
Fe (0.000, 0.000, 0.500) [4 per cell]
Re (0.250, 0.250, 0.750) [4 per cell]



Crystalline Ho3Mg3AlZnAg at its relaxed geometry. Source: OQMD via LeMat-Bulk, functional PBE-GGA.

Calculated values
Final energy: -28.9 eV for the cell shown

Cell lengths 7.5490, 7.5490, 4.2193 Å; angles 90.00, 90.00, 120.00 degrees
Space group P-6 (No. 174)
Symmetry-distinct sites (fractional):
Ho (0.0055, 0.4190, 0.0000) [3 per cell]
Mg (0.9999, 0.7519, 0.5000) [3 per cell]
Al (0.6667, 0.3333, 0.5000) [1 per cell]
Zn (0.3333, 0.6667, 0.5000) [1 per cell]
Ag (0.0000, 0.0000, 0.0000) [1 per cell]



Crystalline Dy2TmFe8Co at its relaxed geometry. Source: OQMD via LeMat-Bulk, functional PBE-GGA.

Calculated values
ΔE_f: -0.108 eV/atom

Cell lengths 5.0472, 5.0472, 24.1645 Å; angles 90.00, 90.00, 120.00 degrees
Space group R-3m (No. 166, hexagonal axes)
Symmetry-distinct sites (fractional):
Dy (0.0000, 0.0000, 0.1419) [6 per cell]
Tm (0.0000, 0.0000, 0.0000) [3 per cell]
Fe (0.0000, 0.0000, 0.3327) [6 per cell]
Fe (0.0006, 0.5003, 0.0813) [18 per cell]
Co (0.0000, 0.0000, 0.5000) [3 per cell]



Calculated density readings, ordered: 11.42; 4.82; 12.66; 4.35; 7.75; 6.97; 10.42; 14.96; 9.15; 2.89; 9.10; 3.81; 8.80; 6.60; 7.24; 6.71; 9.93; 12.86; 6.12; 9.34 Mg/m³